Entry 1:
A plane-wave DFT calculation with PBEsol was carried out for MnIrRu after structural relaxation.

Geometry as POSCAR:
```
MnIrRu
1.0
2.641 0.000 0.000
0.000 4.113 0.000
0.000 -2.056 3.562
Ir Mn Ru
1 1 1
Direct
0.500 0.000 0.000
0.000 0.333 0.667
0.000 0.667 0.333
```

Calculated values
V = 12.9 A^3/atom
VASP energy = -9.840 eV/atom
Energy relative to the elements = 0.08 eV per atom
Space-group type = P-6m2
Spin magnetization = 1.1 Bohr magnetons per cell

---

Entry 2:
A plane-wave DFT calculation with PBEsol was carried out for MgInSb2 after structural relaxation.

Geometry as POSCAR:
```
MgInSb2
1.0
-0.814 1.282 -2.837
-4.884 -2.145 0.433
-1.908 4.902 2.762
Sb Mg In
2 1 1
Direct
0.124 0.875 0.000
0.627 0.375 0.500
0.127 0.875 0.500
0.622 0.375 0.000
```

Calculated values
V = 25.6 A^3/atom
VASP energy = -3.578 eV/atom
ΔE_f (raw) = -124 meV/atom
Space-group type = Pmm2
Spin magnetization = 0.0 Bohr magnetons per cell

---

Entry 3:
A plane-wave DFT calculation with PBEsol was carried out for Y2ReCl after structural relaxation.

Geometry as POSCAR:
```
Y2ReCl
1.0
3.351 0.000 0.000
0.000 4.746 0.000
-1.675 0.000 5.251
Y Re Cl
2 1 1
Direct
0.990 0.500 0.979
0.259 0.000 0.518
0.731 0.500 0.462
0.521 0.000 0.041
```

Calculated values
V = 20.9 A^3/atom
VASP energy = -7.609 eV/atom
ΔE_f (raw) = -363 meV/atom
Space-group type = Amm2
Spin magnetization = 0.0 Bohr magnetons per cell

---

Entry 4:
A plane-wave DFT calculation with PBEsol was carried out for NaFeO2 after structural relaxation.

Geometry as POSCAR:
```
NaFeO2
1.0
5.528 0.000 0.000
0.000 5.528 0.000
0.000 0.000 7.294
Na Fe O
4 4 8
Direct
0.800 0.800 0.000
0.300 0.700 0.750
0.700 0.300 0.250
0.200 0.200 0.500
0.311 0.689 0.250
0.189 0.189 0.000
0.811 0.811 0.500
0.689 0.311 0.750
0.150 0.777 0.466
0.850 0.223 0.966
0.777 0.150 0.534
0.277 0.350 0.216
0.723 0.650 0.716
0.223 0.850 0.034
0.650 0.723 0.284
0.350 0.277 0.784
```

Calculated values
V = 13.9 A^3/atom
VASP energy = -6.519 eV/atom
ΔE_f (raw) = -1303 meV/atom
Space-group type = P4_12_12
Spin magnetization = 20.0 Bohr magnetons per cell

---

Entry 5:
A plane-wave DFT calculation with PBEsol was carried out for NaFeAs after structural relaxation.

Geometry as POSCAR:
```
NaFeAs
1.0
-1.783 0.661 -3.360
-3.276 -1.434 1.457
-1.764 6.226 2.161
Na As Fe
2 2 2
Direct
0.000 0.500 0.349
0.500 0.000 0.651
0.500 0.000 0.186
0.000 0.500 0.814
0.000 0.000 0.000
0.500 0.500 0.000
```

Calculated values
V = 17.0 A^3/atom
VASP energy = -5.454 eV/atom
Energy relative to the elements = -0.30 eV per atom
Space-group type = P4/nmm
Spin magnetization = 0.0 Bohr magnetons per cell

---

Entry 6:
A plane-wave DFT calculation with PBEsol was carried out for NaNiO2 after structural relaxation.

Geometry as POSCAR:
```
NaNiO2
1.0
-1.078 2.015 -1.917
-4.682 -1.547 1.040
2.173 6.719 8.120
Na Ni O
4 4 8
Direct
0.859 0.535 0.750
0.393 0.035 0.750
0.141 0.465 0.250
0.607 0.965 0.250
0.251 0.250 0.500
0.500 0.500 0.000
0.749 0.750 0.500
0.000 0.000 0.000
0.298 0.625 0.594
0.801 0.125 0.594
0.702 0.375 0.406
0.199 0.875 0.406
0.594 0.222 0.095
0.000 0.723 0.095
0.406 0.778 0.905
0.000 0.277 0.905
```

Calculated values
V = 9.8 A^3/atom
VASP energy = -5.629 eV/atom
ΔE_f (raw) = -1115 meV/atom
Space-group type = P-1
Spin magnetization = 4.0 Bohr magnetons per cell

---

Entry 7:
A plane-wave DFT calculation with PBEsol was carried out for YTlP2 after structural relaxation.

Geometry as POSCAR:
```
YTlP2
1.0
3.765 0.000 0.000
0.000 4.014 0.000
-1.882 0.000 5.749
P Tl Y
2 1 1
Direct
0.030 0.500 0.059
0.260 0.000 0.520
0.483 0.000 0.967
0.727 0.500 0.454
```

Calculated values
V = 21.7 A^3/atom
VASP energy = -5.787 eV/atom
Energy relative to the elements = -0.53 eV per atom
Space-group type = Amm2
Spin magnetization = 0.0 Bohr magnetons per cell

---

Entry 8:
A plane-wave DFT calculation with PBEsol was carried out for CaCr3Cd after structural relaxation.

Geometry as POSCAR:
```
CaCr3Cd
1.0
-3.365 1.625 3.435
-3.461 -3.205 -1.874
1.569 -3.584 3.233
Cr Ca Cd
3 1 1
Direct
0.000 0.500 0.000
0.000 0.000 0.500
0.500 0.000 0.000
0.500 0.500 0.500
0.000 0.000 0.000
```

Calculated values
V = 26.2 A^3/atom
VASP energy = -5.391 eV/atom
Energy relative to the elements = 1.42 eV per atom
Space-group type = Pm-3m
Spin magnetization = 13.3 Bohr magnetons per cell

---

Entry 9:
A plane-wave DFT calculation with PBEsol was carried out for CaNb2SnAu after structural relaxation.

Geometry as POSCAR:
```
CaNb2SnAu
1.0
-4.457 1.264 -0.385
-1.061 -2.614 3.695
0.891 4.106 3.160
Nb Ca Au Sn
2 1 1 1
Direct
0.000 0.500 0.000
0.500 0.000 0.000
0.000 0.000 0.000
0.500 0.500 0.500
0.000 0.000 0.500
```

Calculated values
V = 22.7 A^3/atom
VASP energy = -4.497 eV/atom
Energy relative to the elements = 1.89 eV per atom
Space-group type = P4/mmm
Spin magnetization = 0.0 Bohr magnetons per cell

---

Entry 10:
A plane-wave DFT calculation with PBEsol was carried out for Zn2SbTe after structural relaxation.

Geometry as POSCAR:
```
Zn2SbTe
1.0
-1.620 1.042 -3.830
-3.899 -1.173 2.845
1.727 4.236 1.937
Sb Te Zn
1 1 2
Direct
0.500 0.000 0.000
0.500 0.500 0.500
0.000 0.500 0.000
0.000 0.000 0.500
```

Calculated values
V = 22.9 A^3/atom
VASP energy = -2.713 eV/atom
ΔE_f (raw) = 99 meV/atom
Space-group type = C2/m
Spin magnetization = 0.0 Bohr magnetons per cell

---

Entry 11:
A plane-wave DFT calculation with PBEsol was carried out for ZrScW4 after structural relaxation.

Geometry as POSCAR:
```
ZrScW4
1.0
-3.484 -3.547 -1.965
1.253 -2.853 -4.345
0.985 -5.237 0.434
Sc W Zr
1 4 1
Direct
0.000 0.000 0.000
0.375 0.375 0.375
0.375 0.375 0.876
0.876 0.375 0.375
0.375 0.876 0.375
0.750 0.750 0.750
```

Calculated values
V = 18.0 A^3/atom
VASP energy = -11.864 eV/atom
Energy relative to the elements = -0.04 eV per atom
Space-group type = F-43m
Spin magnetization = 0.0 Bohr magnetons per cell

---

Entry 12:
A plane-wave DFT calculation with PBEsol was carried out for GaRuNO2 after structural relaxation.

Geometry as POSCAR:
```
GaRuNO2
1.0
3.694 0.000 0.000
0.000 3.694 0.000
0.000 0.000 3.931
Ru O Ga N
1 2 1 1
Direct
0.500 0.500 0.500
0.000 0.500 0.000
0.500 0.000 0.000
0.000 0.000 0.000
0.000 0.000 0.500
```

Calculated values
V = 10.7 A^3/atom
VASP energy = -6.033 eV/atom
ΔE_f (raw) = 475 meV/atom
Space-group type = P4/mmm
Spin magnetization = 3.1 Bohr magnetons per cell